Ho3Sn3Ir2Pt: optimized geometry, PBE.

POSCAR file:
```
Ho3Sn3Ir2Pt
1.0
7.540 0.000 0.000
-3.770 6.529 0.000
0.000 0.000 3.890
Ho Sn Ir Pt
3 3 2 1
Cartesian
-1.526 2.643 0.000
3.052 0.000 0.000
2.244 3.886 0.000
-2.766 4.791 1.945
1.003 1.738 1.945
5.533 0.000 1.945
0.000 4.353 1.945
3.770 2.176 1.945
0.000 0.000 0.000
```

Computed properties:
Final energy in eV/f.u.: -57.7